Version a
First-principles (PBE) data for BaSrPt2 after structural relaxation, as listed in the Open Quantum Materials Database.

Calculated values
Magnetic moment = 0.00 μB/f.u.

Lattice parameters (Å, degrees): 9.0697 4.0440 6.0093 90.00 90.00 90.00
Space group Pmma (No. 51)
One atom of each set of equivalent atoms:
Ba (0.0000, 0.0000, 0.0000)
Sr (0.2500, 0.0000, 0.4571)
Pt (0.0000, 0.5000, 0.5000)
Pt (0.2500, 0.5000, 0.8276)

---

Version b
First-principles (PBE) data for BaSrPt2 after structural relaxation, as listed in the Open Quantum Materials Database.

Calculated values
Magnetic moment = 0.01 μB/f.u.

Lattice parameters (Å, degrees): 4.9572 4.9572 5.4852 90.00 90.00 120.00
Space group P-6m2 (No. 187)
One atom of each set of equivalent atoms:
Ba (0.0000, 0.0000, 0.0000)
Sr (0.6667, 0.3333, 0.5000)
Pt (0.3333, 0.6667, 0.2532)

---

Most stable structure among those shown: version b. Next: +0.200 eV/atom.